--- 1 ---
Computed, not measured: a geometry-optimized LaBeSe structure at the PBE level of DFT.

Output
Spin magnetization, μB per cell: 0.0

abc: 6.4806 6.4806 6.4806
angles: 90.00 90.00 90.00
Space group F-43m (No. 216)
Unique sites:
La (0.0000, 0.0000, 0.0000) x4
Be (0.2500, 0.2500, 0.7500) x4
Se (0.0000, 0.0000, 0.5000) x4

---

--- 2 ---
Computed, not measured: a geometry-optimized LaBeSe structure at the PBE level of DFT.

Output
Spin magnetization, μB per cell: 0.0

abc: 3.9594 3.9594 4.4755
angles: 90.00 90.00 120.00
Space group P-6m2 (No. 187)
Unique sites:
La (0.0000, 0.0000, 0.0000) x1
Be (0.3333, 0.6667, 0.5000) x1
Se (0.6667, 0.3333, 0.5000) x1

---

--- 3 ---
Computed, not measured: a geometry-optimized LaBeSe structure at the PBE level of DFT.

Output
Spin magnetization, μB per cell: 0.0

abc: 3.9780 6.2172 11.1388
angles: 90.00 90.00 90.00
Space group Fmm2 (No. 42)
Unique sites:
La (0.0000, 0.0000, 0.0000) x4
Be (0.0000, 0.0000, 0.3136) x4
Se (0.0000, 0.0000, 0.7180) x4

---

Short version: 2, 3, 1, most stable first.

---

--- 1 ---
Computed, not measured: a geometry-optimized LaBeSe structure at the PBE level of DFT.

Output
Spin magnetization, μB per cell: 0.0

abc: 3.4448 3.4448 10.4519
angles: 90.00 90.00 90.00
Space group I4mm (No. 107)
Unique sites:
La (0.0000, 0.0000, 0.0000) x2
Be (0.0000, 0.0000, 0.7019) x2
Se (0.0000, 0.0000, 0.2903) x2

---

--- 2 ---
Computed, not measured: a geometry-optimized LaBeSe structure at the PBE level of DFT.

Output
Spin magnetization, μB per cell: 0.0

abc: 6.9360 6.9360 6.9360
angles: 90.00 90.00 90.00
Space group F-43m (No. 216)
Unique sites:
La (0.0000, 0.0000, 0.0000) x4
Be (0.2500, 0.2500, 0.7500) x4
Se (0.2500, 0.2500, 0.2500) x4

---

Short version: 1, 2, most stable first.

---

--- 1 ---
Computed, not measured: a geometry-optimized LaBe3Si structure at the PBE level of DFT.

Output
Spin magnetization, μB per cell: 0.0

abc: 4.3299 4.3299 4.3299
angles: 90.00 90.00 90.00
Space group Pm-3m (No. 221)
Unique sites:
La (0.0000, 0.0000, 0.0000) x1
Be (0.0000, 0.5000, 0.5000) x3
Si (0.5000, 0.5000, 0.5000) x1

---

--- 2 ---
Computed, not measured: a geometry-optimized LaBe3Si structure at the PBE level of DFT.

Output
Spin magnetization, μB per cell: 0.0

abc: 4.9435 4.9435 4.9435
angles: 90.00 90.00 90.00
Space group Pm-3m (No. 221)
Unique sites:
La (0.0000, 0.0000, 0.0000) x1
Be (0.0000, 0.0000, 0.5000) x3
Si (0.5000, 0.5000, 0.5000) x1

---

Short version: 1, 2, most stable first.